The following is a PBE-GGA calculation of crystalline CrAuCl2 at its relaxed geometry, from Alexandria.

```
CrAuCl2
1.0
1.882 -2.811 0.000
1.882 2.811 0.000
0.000 0.000 8.376
Cr Au Cl
1 1 2
direct
0.000 0.000 0.000
0.500 0.500 0.783
0.000 0.000 0.580
0.500 0.500 0.177
```

Output
Energy (eV per atom): -4.320
Formation energy from raw total energies (meV per atom): -172
Symmetry: No. 35
V (Å³ per cell): 89
Magnetization (Bohr magnetons per cell): 3.71
Excess energy over the best structure of this formula in the dataset (meV per atom): 237